Here is CuNiSO after structural relaxation from Alexandria via LeMat-Bulk. Energies are from PBE+U.

Summary:
energy above the lowest structure with this stoichiometry: 0.000 eV/atom
volume: 15.054 Å³ per atom
total DFT energy (no corrections): -4.3972 eV/atom

Lattice parameters (Å, degrees): 3.830 3.830 8.208 90.00 90.00 90.00
Sites, in units of the cell vectors:
Cu1 0.250 0.750 0.000
Cu2 0.750 0.250 0.000
Ni1 0.250 0.250 0.443
Ni2 0.750 0.750 0.557
S1 0.250 0.250 0.156
S2 0.750 0.750 0.844
O1 0.250 0.750 0.500
O2 0.750 0.250 0.500